An optimized crystal structure of Rb2ZnFeO4, computed with PBE+U.

a = 5.2435 Å, b = 12.3775 Å, c = 20.1698 Å
α = 90.00°, β = 90.00°, γ = 90.00°
With the nearest neighbours (Å) after each atom.
Space group Fddd (No. 70, origin choice 2)
Asymmetric unit:
Rb (0.1250, 0.1250, 0.3036) (multiplicity 16)  6 O 2.98-3.34
Zn (0.1250, 0.1250, 0.1250) (multiplicity 8)  4 O 1.98
Fe (0.1250, 0.1250, 0.6250) (multiplicity 8)  4 O 1.84
O (0.1052, 0.2833, 0.8353) (multiplicity 32)  1 Fe 1.84, 1 Zn 1.98

Calculated values
Electronic total energy, eV/atom: -4.8387
Magnetic moment, μB per formula unit: 4.02
V, A^3/atom: 20.454